No. 1
A plane-wave DFT calculation with PBEsol was carried out for an optimized crystal structure of CdRe2Sb.

Calculated values
ρ (g/cm3): 13.30
Polymorph energy (0 for the lowest one) (eV/f.u.): 0.00
N(E_F) (states/eV per cell): 3.0

Lattice parameters (Å, degrees): 2.989 2.999 8.574 90.00 99.95 90.00
Element x y z (fractional)
1 Cd 0.000 0.000 0.000
2 Re 0.207 0.000 0.416
3 Re 0.618 0.500 0.237
4 Sb 0.822 0.500 0.649

No. 2
A plane-wave DFT calculation with PBEsol was carried out for an optimized crystal structure of ScCd2Re.

Calculated values
ρ (g/cm3): 10.51
Polymorph energy (0 for the lowest one) (eV/f.u.): 0.60
DFT formation energy (meV per atom): 337.3
N(E_F) (states/eV per cell): 4.1

Lattice parameters (Å, degrees): 4.671 4.671 4.671 60.00 60.00 60.00
Element x y z (fractional)
1 Sc 0.000 0.000 0.000
2 Cd 0.250 0.250 0.250
3 Cd 0.750 0.750 0.750
4 Re 0.500 0.500 0.500

No. 3
A plane-wave DFT calculation with PBEsol was carried out for an optimized crystal structure of ScCd2Re.

Calculated values
ρ (g/cm3): 10.42
Polymorph energy (0 for the lowest one) (eV/f.u.): 0.00
DFT formation energy (meV per atom): 187.0
N(E_F) (states/eV per cell): 1.7

Lattice parameters (Å, degrees): 2.862 4.233 5.998 90.00 90.00 90.00
Element x y z (fractional)
1 Sc 0.000 0.000 0.000
2 Cd 0.000 0.000 0.526
3 Cd 0.500 0.500 0.279
4 Re 0.500 0.500 0.785

No. 4
A plane-wave DFT calculation with PBEsol was carried out for an optimized crystal structure of Sc2CdRe.

Calculated values
ρ (g/cm3): 8.58
DFT formation energy (meV per atom): -99.2
N(E_F) (states/eV per cell): 3.0

Lattice parameters (Å, degrees): 2.943 2.943 9.081 90.00 90.00 107.03
Element x y z (fractional)
1 Sc 0.000 0.000 0.222
2 Sc 0.000 0.000 0.778
3 Cd 0.500 0.500 0.500
4 Re 0.500 0.500 0.000

No. 5
A plane-wave DFT calculation with PBEsol was carried out for an optimized crystal structure of Sc2CdRe.

Calculated values
ρ (g/cm3): 8.46
DFT formation energy (meV per atom): 236.5
N(E_F) (states/eV per cell): 4.8

Lattice parameters (Å, degrees): 2.890 2.890 9.125 90.00 90.00 90.00
Element x y z (fractional)
1 Sc 0.000 0.000 0.000
2 Sc 0.500 0.500 0.296
3 Cd 0.000 0.000 0.548
4 Re 0.500 0.500 0.779

No. 6
A plane-wave DFT calculation with PBEsol was carried out for an optimized crystal structure of Sc2CdRe.

Calculated values
ρ (g/cm3): 8.83
DFT formation energy (meV per atom): -68.7
N(E_F) (states/eV per cell): 3.3

Lattice parameters (Å, degrees): 4.615 4.615 3.431 90.00 90.00 90.00
Element x y z (fractional)
1 Sc 0.000 0.500 0.000
2 Sc 0.500 0.000 0.000
3 Cd 0.000 0.000 0.500
4 Re 0.500 0.500 0.500

No. 7
A plane-wave DFT calculation with PBEsol was carried out for an optimized crystal structure of ScCdRe3.

Calculated values
ρ (g/cm3): 12.44
DFT formation energy (meV per atom): 2416.8
N(E_F) (states/eV per cell): 7.2

Lattice parameters (Å, degrees): 4.572 4.572 4.572 90.00 90.00 90.00
Element x y z (fractional)
1 Sc 0.000 0.000 0.000
2 Cd 0.500 0.500 0.500
3 Re 0.000 0.000 0.500
4 Re 0.000 0.500 0.000
5 Re 0.500 0.000 0.000

No. 8
A plane-wave DFT calculation with PBEsol was carried out for an optimized crystal structure of Sc2CdRe.

Calculated values
ρ (g/cm3): 8.51
DFT formation energy (meV per atom): -212.1
N(E_F) (states/eV per cell): 3.5

Lattice parameters (Å, degrees): 3.267 3.267 7.098 90.00 90.00 90.00
Element x y z (fractional)
1 Sc 0.000 0.000 0.214
2 Sc 0.000 0.000 0.786
3 Cd 0.500 0.500 0.500
4 Re 0.500 0.500 0.000

No. 9
A plane-wave DFT calculation with PBEsol was carried out for an optimized crystal structure of Cd2ReSe.

Calculated values
ρ (g/cm3): 10.99
Polymorph energy (0 for the lowest one) (eV/f.u.): 0.33
N(E_F) (states/eV per cell): 1.7

Lattice parameters (Å, degrees): 2.774 2.774 10.184 90.00 90.00 109.13
Element x y z (fractional)
1 Cd 0.000 0.000 0.229
2 Cd 0.000 0.000 0.771
3 Re 0.500 0.500 0.000
4 Se 0.500 0.500 0.500

No. 10
A plane-wave DFT calculation with PBEsol was carried out for an optimized crystal structure of Cd2ReSe.

Calculated values
ρ (g/cm3): 11.16
Polymorph energy (0 for the lowest one) (eV/f.u.): 0.96
N(E_F) (states/eV per cell): 3.3

Lattice parameters (Å, degrees): 2.759 4.520 5.848 90.00 90.00 90.00
Element x y z (fractional)
1 Cd 0.000 0.000 0.232
2 Cd 0.000 0.000 0.768
3 Re 0.500 0.500 0.000
4 Se 0.500 0.500 0.500

No. 11
A plane-wave DFT calculation with PBEsol was carried out for an optimized crystal structure of Cd2ReSe.

Calculated values
ρ (g/cm3): 11.24
Polymorph energy (0 for the lowest one) (eV/f.u.): 1.11
N(E_F) (states/eV per cell): 3.9

Lattice parameters (Å, degrees): 3.597 3.597 5.596 90.00 90.00 90.00
Element x y z (fractional)
1 Cd 0.000 0.000 0.242
2 Cd 0.000 0.000 0.758
3 Re 0.500 0.500 0.000
4 Se 0.500 0.500 0.500

No. 12
A plane-wave DFT calculation with PBEsol was carried out for an optimized crystal structure of Cd2ReSe.

Calculated values
ρ (g/cm3): 10.86
Polymorph energy (0 for the lowest one) (eV/f.u.): 0.00
N(E_F) (states/eV per cell): 2.5

Lattice parameters (Å, degrees): 4.121 5.591 5.591 35.58 90.00 90.00
Element x y z (fractional)
1 Cd 0.000 0.000 0.000
2 Cd 0.500 0.341 0.341
3 Re 0.000 0.735 0.735
4 Se 0.500 0.615 0.615

No. 13
A plane-wave DFT calculation with PBEsol was carried out for an optimized crystal structure of CdReSe.

Calculated values
ρ (g/cm3): 10.73
Polymorph energy (0 for the lowest one) (eV/f.u.): 0.72
N(E_F) (states/eV per cell): 3.1

Lattice parameters (Å, degrees): 4.355 4.355 4.355 60.00 60.00 60.00
Element x y z (fractional)
1 Cd 0.000 0.000 0.000
2 Re 0.250 0.250 0.250
3 Se 0.500 0.500 0.500

No. 14
A plane-wave DFT calculation with PBEsol was carried out for an optimized crystal structure of CdRe2Se.

Calculated values
ρ (g/cm3): 14.45
E_tot (Ha/atom): -0.264
N(E_F) (states/eV per cell): 3.4

Lattice parameters (Å, degrees): 4.566 4.566 5.218 99.41 99.41 37.20
Element x y z (fractional)
1 Cd 0.000 0.000 0.000
2 Re 0.247 0.247 0.716
3 Re 0.753 0.753 0.284
4 Se 0.500 0.500 0.500

No. 15
A plane-wave DFT calculation with PBEsol was carried out for an optimized crystal structure of CdRe3Se.

Calculated values
ρ (g/cm3): 11.40
E_tot (Ha/atom): -0.205
N(E_F) (states/eV per cell): 8.7

Lattice parameters (Å, degrees): 4.780 4.780 4.780 90.00 90.00 90.00
Element x y z (fractional)
1 Cd 0.000 0.000 0.000
2 Re 0.000 0.000 0.500
3 Re 0.000 0.500 0.000
4 Re 0.500 0.000 0.000
5 Se 0.500 0.500 0.500

No. 16
A plane-wave DFT calculation with PBEsol was carried out for an optimized crystal structure of CdReSe.

Calculated values
ρ (g/cm3): 12.19
Polymorph energy (0 for the lowest one) (eV/f.u.): 0.00
N(E_F) (states/eV per cell): 2.3

Lattice parameters (Å, degrees): 4.681 4.681 2.711 90.00 90.00 120.00
Element x y z (fractional)
1 Cd 0.000 0.000 0.000
2 Re 0.333 0.667 0.500
3 Se 0.667 0.333 0.500

No. 17
A plane-wave DFT calculation with PBEsol was carried out for an optimized crystal structure of CdReSi2.

Calculated values
ρ (g/cm3): 8.44
E_tot (Ha/atom): -0.218
N(E_F) (states/eV per cell): 5.8

Lattice parameters (Å, degrees): 8.745 8.745 8.745 152.79 152.79 38.86
Element x y z (fractional)
1 Cd 0.000 0.000 0.000
2 Cd 0.750 0.250 0.500
3 Re 0.250 0.750 0.500
4 Re 0.500 0.500 0.000
5 Si 0.195 0.625 0.070
6 Si 0.375 0.445 0.570
7 Si 0.555 0.125 0.930
8 Si 0.875 0.805 0.430

No. 18
A plane-wave DFT calculation with PBEsol was carried out for an optimized crystal structure of CdReSi2.

Calculated values
ρ (g/cm3): 9.21
E_tot (Ha/atom): -0.231
N(E_F) (states/eV per cell): 1.5

Lattice parameters (Å, degrees): 3.223 4.285 4.896 90.00 108.93 90.00
Element x y z (fractional)
1 Cd 0.000 0.000 0.000
2 Re 0.607 0.500 0.220
3 Si 0.315 0.500 0.638
4 Si 0.729 0.000 0.464

No. 19
A plane-wave DFT calculation with PBEsol was carried out for an optimized crystal structure of CdReSi2.

Calculated values
ρ (g/cm3): 8.93
E_tot (Ha/atom): -0.227
N(E_F) (states/eV per cell): 1.8

Lattice parameters (Å, degrees): 2.865 2.865 8.691 90.00 90.00 112.37
Element x y z (fractional)
1 Cd 0.000 0.000 0.000
2 Re 0.000 0.000 0.500
3 Si 0.500 0.500 0.288
4 Si 0.500 0.500 0.712

No. 20
A plane-wave DFT calculation with PBEsol was carried out for an optimized crystal structure of CdRe2Si.

Calculated values
ρ (g/cm3): 13.92
Polymorph energy (0 for the lowest one) (eV/f.u.): 0.63
N(E_F) (states/eV per cell): 2.5

Lattice parameters (Å, degrees): 5.323 5.323 5.323 148.11 129.19 61.25
Element x y z (fractional)
1 Cd 0.000 0.000 0.000
2 Re 0.288 0.788 0.500
3 Re 0.712 0.212 0.500
4 Si 0.500 0.500 0.000